(1)
Material: CrNiAsSe
Method: DFT, GGA-PBE
State: optimized geometry

Unit cell a=3.825 b=3.825 c=5.488 alpha=90.00 beta=90.00 gamma=120.00
Fractional coordinates of all 4 atoms:
Cr (0.000, 0.000, 0.000)
Ni (0.333, 0.667, 0.665)
As (0.667, 0.333, 0.754)
Se (0.333, 0.667, 0.239)

## Properties
For the raw formation energy, the calculation gives -0.231 eV per atom. Its size of the total moment is 0.55 μB/atom. The calculation puts the density of states at the Fermi level at 2.30 states/eV per cell. The calculation puts the volume at 69.57 Å³/cell. Its space-group type is P3m1 (156).


(2)
Material: Sm2CrNi3As4
Method: DFT, GGA-PBE
State: optimized geometry

Unit cell a=4.198 b=4.198 c=9.727 alpha=90.00 beta=90.00 gamma=90.00
Fractional coordinates of all 10 atoms:
Sm (0.000, 0.500, 0.241)
Sm (0.500, 0.000, 0.759)
Cr (0.000, 0.000, 0.500)
Ni (0.000, 0.500, 0.883)
Ni (0.500, 0.000, 0.117)
Ni (0.500, 0.500, 0.500)
As (0.000, 0.000, 0.000)
As (0.000, 0.500, 0.638)
As (0.500, 0.000, 0.362)
As (0.500, 0.500, 0.000)

## Properties
The value obtained for the final energy is -6.23 eV per atom. Its size of the total moment is 0.33 μB/atom. The calculation puts the density of states at the Fermi level at 3.73 states/eV per cell. The calculation puts the volume at 171.41 Å³/cell. Its space-group type is P-4m2 (115).


(3)
Material: CrNi7Sn2As2
Method: DFT, GGA-PBE
State: optimized geometry

Unit cell a=14.814 b=14.814 c=14.814 alpha=166.16 beta=166.16 gamma=19.62
Fractional coordinates of all 12 atoms:
Cr (0.000, 0.000, 0.000)
Ni (0.061, 0.561, 0.500)
Ni (0.308, 0.308, 0.000)
Ni (0.439, 0.939, 0.500)
Ni (0.500, 0.500, 0.000)
Ni (0.561, 0.061, 0.500)
Ni (0.692, 0.692, 0.000)
Ni (0.939, 0.439, 0.500)
Sn (0.213, 0.213, 0.000)
Sn (0.787, 0.787, 0.000)
As (0.387, 0.387, 0.000)
As (0.613, 0.613, 0.000)

## Properties
The value obtained for the final energy is -5.74 eV per atom. Its size of the total moment is 0.17 μB/atom. The calculation puts the density of states at the Fermi level at 9.97 states/eV per cell. The calculation puts the volume at 185.97 Å³/cell. Its space-group type is I4/mmm (139).


(4)
Material: CrNiSn2As
Method: DFT, GGA-PBE
State: optimized geometry

Unit cell a=4.817 b=4.817 c=4.831 alpha=90.00 beta=90.00 gamma=90.00
Fractional coordinates of all 5 atoms:
Cr (0.000, 0.000, 0.000)
Ni (0.000, 0.000, 0.500)
Sn (0.000, 0.500, 0.500)
Sn (0.500, 0.000, 0.500)
As (0.500, 0.500, 0.000)

## Properties
The value obtained for the final energy is -5.20 eV per atom. Its size of the total moment is 0.86 μB/atom. The calculation puts the density of states at the Fermi level at 3.27 states/eV per cell. The calculation puts the volume at 112.13 Å³/cell. Its space-group type is P4/mmm (123).